PuMgPa2Pt4 after structural relaxation, computed with GGA-PBE.

Cell lengths 4.8464, 4.8464, 8.5767 Å; angles 73.59, 73.59, 60.00 degrees
Fractional positions:
Pt1 0.3849 0.3849 0.8452
Pa1 0.2490 0.2490 0.2531
Mg1 0.5000 0.5000 0.5000
Pt2 0.1283 0.1283 0.6150
Pt3 0.8717 0.8717 0.3850
Pt4 0.6151 0.6151 0.1548
Pu1 0.0000 0.0000 0.0000
Pa2 0.7510 0.7510 0.7469

As for the magnetization: 6.5 μB per cell. As for the space-group type: R-3m (166). The crystal system is trigonal. The energy relative to the elements comes out at -0.82 eV per atom.